# PBE-GGA GdDyTlSn, relaxed
# Total magnetic moment in μB per formula unit: 7.21
# DFT formation energy in meV per atom: -477
# Density in g/cm³: 9.71
# DOS(E_F) in states/eV per atom: 0.75
# DFT total energy in eV per atom: -6.7400
data_GdDyTlSn
_symmetry_space_group_name_H-M 'F -4 3 m'
_symmetry_Int_Tables_number 216
_symmetry_space_group_name_Hall 'F -4 2 3'
_cell_length_a 7.6037
_cell_length_b 7.6037
_cell_length_c 7.6037
_cell_angle_alpha 90.00
_cell_angle_beta 90.00
_cell_angle_gamma 90.00
loop_
_atom_site_label
_atom_site_fract_x
_atom_site_fract_y
_atom_site_fract_z
Gd1 0.0000 0.0000 0.0000
Dy1 0.0000 0.0000 0.5000
Tl1 0.2500 0.2500 0.2500
Sn1 0.2500 0.2500 0.7500

---

# PBE-GGA HgMoRh2, relaxed
# Total magnetic moment in μB per formula unit: 0.00
# DFT formation energy in meV per atom: 21
# Density in g/cm³: 12.84
# DOS(E_F) in states/eV per atom: 0.69
# DFT total energy in eV per atom: -6.4380
data_HgMoRh2
_symmetry_space_group_name_H-M 'R -3 m'
_symmetry_Int_Tables_number 166
_symmetry_space_group_name_Hall '-R 3 2"'
_cell_length_a 2.8666
_cell_length_b 2.8666
_cell_length_c 27.3903
_cell_angle_alpha 90.00
_cell_angle_beta 90.00
_cell_angle_gamma 120.00
loop_
_atom_site_label
_atom_site_fract_x
_atom_site_fract_y
_atom_site_fract_z
Hg1 0.0000 0.0000 0.0000
Mo1 0.0000 0.0000 0.5000
Rh1 0.0000 0.0000 0.2430

---

# PBE-GGA Ho2AlZn6, relaxed
# Total magnetic moment in μB per formula unit: 0.00
# DFT formation energy in meV per atom: -315
# Density in g/cm³: 7.63
# DOS(E_F) in states/eV per atom: 0.70
# DFT total energy in eV per atom: -2.5969
data_Ho2AlZn6
_symmetry_space_group_name_H-M 'C 1 2/m 1'
_symmetry_Int_Tables_number 12
_symmetry_space_group_name_Hall '-C 2y'
_cell_length_a 9.9842
_cell_length_b 5.5625
_cell_length_c 5.8744
_cell_angle_alpha 90.00
_cell_angle_beta 91.49
_cell_angle_gamma 90.00
loop_
_atom_site_label
_atom_site_fract_x
_atom_site_fract_y
_atom_site_fract_z
Ho1 0.1669 0.0000 0.1394
Al1 0.0000 0.5000 0.0000
Zn1 0.0864 0.2350 0.6645
Zn2 0.1820 0.5000 0.3452

---

# PBE-GGA RuAuSe2, relaxed
# Formation energy (no corrections) in eV/f.u.: 1.9
# Total magnetic moment in μB per formula unit: 0.00
# Density in g/cm³: 10.93
# DOS(E_F) in states/eV per atom: 0.83
# DFT total energy in eV per atom: -4.4054
data_RuAuSe2
_symmetry_space_group_name_H-M 'C m m m'
_symmetry_Int_Tables_number 65
_symmetry_space_group_name_Hall '-C 2 2'
_cell_length_a 6.4910
_cell_length_b 6.5267
_cell_length_c 3.2713
_cell_angle_alpha 90.00
_cell_angle_beta 90.00
_cell_angle_gamma 90.00
loop_
_atom_site_label
_atom_site_fract_x
_atom_site_fract_y
_atom_site_fract_z
Ru1 0.0000 0.0000 0.0000
Au1 0.0000 0.5000 0.0000
Se1 0.2500 0.2500 0.5000

---

# PBE-GGA AcLaEuAl, relaxed
# Total magnetic moment in μB per formula unit: 7.42
# DFT formation energy in meV per atom: -40
# Density in g/cm³: 6.82
# DOS(E_F) in states/eV per atom: 1.13
# DFT total energy in eV per atom: -5.8032
data_AcLaEuAl
_symmetry_space_group_name_H-M 'F -4 3 m'
_symmetry_Int_Tables_number 216
_symmetry_space_group_name_Hall 'F -4 2 3'
_cell_length_a 8.0966
_cell_length_b 8.0966
_cell_length_c 8.0966
_cell_angle_alpha 90.00
_cell_angle_beta 90.00
_cell_angle_gamma 90.00
loop_
_atom_site_label
_atom_site_fract_x
_atom_site_fract_y
_atom_site_fract_z
Ac1 0.0000 0.0000 0.0000
La1 0.0000 0.0000 0.5000
Eu1 0.2500 0.2500 0.7500
Al1 0.2500 0.2500 0.2500

---

# PBE-GGA PrGa12Au4, relaxed
# Total magnetic moment in μB per formula unit: 0.00
# DFT formation energy in meV per atom: -180
# Density in g/cm³: 8.13
# DOS(E_F) in states/eV per atom: 0.51
# DFT total energy in eV per atom: -3.3691
data_PrGa12Au4
_symmetry_space_group_name_H-M 'I m -3'
_symmetry_Int_Tables_number 204
_symmetry_space_group_name_Hall '-I 2 2 3'
_cell_length_a 8.9685
_cell_length_b 8.9685
_cell_length_c 8.9685
_cell_angle_alpha 90.00
_cell_angle_beta 90.00
_cell_angle_gamma 90.00
loop_
_atom_site_label
_atom_site_fract_x
_atom_site_fract_y
_atom_site_fract_z
Pr1 0.0000 0.0000 0.0000
Ga1 0.0000 0.3539 0.1471
Au1 0.2500 0.2500 0.2500

---

# PBE-GGA Y8MgAg2, relaxed
# Total magnetic moment in μB per formula unit: 0.00
# DFT formation energy in meV per atom: -93
# Density in g/cm³: 5.02
# DOS(E_F) in states/eV per atom: 1.28
# DFT total energy in eV per atom: -5.4579
data_Y8MgAg2
_symmetry_space_group_name_H-M 'C 1 2/m 1'
_symmetry_Int_Tables_number 12
_symmetry_space_group_name_Hall '-C 2y'
_cell_length_a 16.1308
_cell_length_b 5.3435
_cell_length_c 8.3876
_cell_angle_alpha 90.00
_cell_angle_beta 119.53
_cell_angle_gamma 90.00
loop_
_atom_site_label
_atom_site_fract_x
_atom_site_fract_y
_atom_site_fract_z
Y1 0.0649 0.0000 0.2259
Y2 0.1020 0.5000 0.9653
Y3 0.1459 0.0000 0.7033
Y4 0.1850 0.5000 0.4602
Mg1 0.0000 0.5000 0.5000
Ag1 0.2246 0.0000 0.1257

---

# PBE-GGA Ce3TmIr8, relaxed
# Total magnetic moment in μB per formula unit: 0.05
# DFT formation energy in meV per atom: -782
# Density in g/cm³: 16.04
# DOS(E_F) in states/eV per atom: 1.40
# DFT total energy in eV per atom: -8.5459
data_Ce3TmIr8
_symmetry_space_group_name_H-M 'R 3 m'
_symmetry_Int_Tables_number 160
_symmetry_space_group_name_Hall 'R 3 -2"'
_cell_length_a 5.3813
_cell_length_b 5.3813
_cell_length_c 26.3487
_cell_angle_alpha 90.00
_cell_angle_beta 90.00
_cell_angle_gamma 120.00
loop_
_atom_site_label
_atom_site_fract_x
_atom_site_fract_y
_atom_site_fract_z
Ce1 0.0000 0.0000 0.0000
Ce2 0.0000 0.0000 0.1248
Ce3 0.0000 0.0000 0.6253
Tm1 0.0000 0.0000 0.5000
Ir1 0.0000 0.0000 0.3126
Ir2 0.0000 0.0000 0.8129
Ir3 0.0002 0.5001 0.5620
Ir4 0.0007 0.5004 0.0631

---

# PBE-GGA Lu2PuTl, relaxed
# Energy above the lowest structure with this stoichiometry in meV/atom: 31.9
# Total magnetic moment in μB per formula unit: 6.73
# DFT formation energy in meV per atom: -42
# Density in g/cm³: 12.31
# DOS(E_F) in states/eV per atom: 2.63
# DFT total energy in eV per atom: -6.4769
data_Lu2PuTl
_symmetry_space_group_name_H-M 'P 4/m m m'
_symmetry_Int_Tables_number 123
_symmetry_space_group_name_Hall '-P 4 2'
_cell_length_a 4.8429
_cell_length_b 4.8429
_cell_length_c 4.5923
_cell_angle_alpha 90.00
_cell_angle_beta 90.00
_cell_angle_gamma 90.00
loop_
_atom_site_label
_atom_site_fract_x
_atom_site_fract_y
_atom_site_fract_z
Lu1 0.0000 0.5000 0.0000
Pu1 0.0000 0.0000 0.5000
Tl1 0.5000 0.5000 0.5000

---

# PBE-GGA TcBP2O, relaxed
# Formation energy (no corrections) in eV/f.u.: 1.1
# Energy above the lowest structure with this stoichiometry in meV/atom: 0.0
# Total magnetic moment in μB per formula unit: 0.00
# Density in g/cm³: 5.12
# DOS(E_F) in states/eV per atom: 0.89
# DFT total energy in eV per atom: -6.3355
data_TcBP2O
_symmetry_space_group_name_H-M 'P 4/m m m'
_symmetry_Int_Tables_number 123
_symmetry_space_group_name_Hall '-P 4 2'
_cell_length_a 4.7536
_cell_length_b 4.7536
_cell_length_c 2.6821
_cell_angle_alpha 90.00
_cell_angle_beta 90.00
_cell_angle_gamma 90.00
loop_
_atom_site_label
_atom_site_fract_x
_atom_site_fract_y
_atom_site_fract_z
Tc1 0.0000 0.0000 0.0000
B1 0.5000 0.5000 0.5000
P1 0.0000 0.5000 0.5000
O1 0.5000 0.5000 0.0000

---

# PBE-GGA ZrMoP2Cl, relaxed
# Formation energy (no corrections) in eV/f.u.: 1.6
# Energy above the lowest structure with this stoichiometry in meV/atom: 0.0
# Total magnetic moment in μB per formula unit: 0.00
# Density in g/cm³: 4.60
# DOS(E_F) in states/eV per atom: 1.24
# DFT total energy in eV per atom: -6.0892
data_ZrMoP2Cl
_symmetry_space_group_name_H-M 'P 4/m m m'
_symmetry_Int_Tables_number 123
_symmetry_space_group_name_Hall '-P 4 2'
_cell_length_a 4.6605
_cell_length_b 4.6605
_cell_length_c 4.7260
_cell_angle_alpha 90.00
_cell_angle_beta 90.00
_cell_angle_gamma 90.00
loop_
_atom_site_label
_atom_site_fract_x
_atom_site_fract_y
_atom_site_fract_z
Zr1 0.0000 0.0000 0.0000
Mo1 0.5000 0.5000 0.5000
P1 0.0000 0.5000 0.5000
Cl1 0.5000 0.5000 0.0000

---

# PBE-GGA ZrTaCr4, relaxed
# Total magnetic moment in μB per formula unit: 0.00
# DFT formation energy in meV per atom: -89
# Density in g/cm³: 9.15
# DOS(E_F) in states/eV per atom: 0.57
# DFT total energy in eV per atom: -9.9052
data_ZrTaCr4
_symmetry_space_group_name_H-M 'F -4 3 m'
_symmetry_Int_Tables_number 216
_symmetry_space_group_name_Hall 'F -4 2 3'
_cell_length_a 7.0369
_cell_length_b 7.0369
_cell_length_c 7.0369
_cell_angle_alpha 90.00
_cell_angle_beta 90.00
_cell_angle_gamma 90.00
loop_
_atom_site_label
_atom_site_fract_x
_atom_site_fract_y
_atom_site_fract_z
Zr1 0.0000 0.0000 0.0000
Ta1 0.2500 0.2500 0.7500
Cr1 0.1247 0.1247 0.3753